DFT (PBE-GGA) results for crystalline Ac3HoIr8 at its relaxed geometry.

- Uncorrected energy: -7.916 eV per atom

abc: 5.5195 5.5195 27.0263
angles: 90.00 90.00 120.00
Last column: nearest neighbours and their distance in Å.
Space group R3m (No. 160, hexagonal axes)
Asymmetric unit:
Ac1 0.0000 0.0000 0.0000 [3 per cell]  12 Ir 3.24-3.29, 4 Ac 3.39
Ac2 0.0000 0.0000 0.1256 [3 per cell]  12 Ir 3.17-3.23, 3 Ho 3.37, 1 Ac 3.39
Ac3 0.0000 0.0000 0.6235 [3 per cell]  12 Ir 3.24-3.32, 1 Ho 3.37, 3 Ac 3.39
Ho1 0.0000 0.0000 0.4989 [3 per cell]  12 Ir 3.16-3.23, 4 Ac 3.37
Ir1 0.0000 0.0000 0.3123 [3 per cell]  6 Ir 2.80
Ir2 0.0000 0.0000 0.8126 [3 per cell]  6 Ir 2.71-2.73
Ir3 0.0023 0.5011 0.0643 [9 per cell]  6 Ir 2.73-2.80
Ir4 0.1671 0.3343 0.8935 [9 per cell]  6 Ir 2.71-2.80


DFT (PBE-GGA) results for crystalline CuAu2Se at its relaxed geometry.

- Energy relative to the elements, uncorrected: 18.60 kJ per mole of atoms
- Uncorrected energy: -3.341 eV per atom

abc: 3.9995 3.9995 8.7365
angles: 90.00 90.00 90.00
Last column: nearest neighbours and their distance in Å.
Space group I4/mmm (No. 139)
Asymmetric unit:
Cu1 0.0000 0.0000 0.0000 [2 per cell]  4 Se 2.83, 8 Au 2.96
Au1 0.0000 0.5000 0.2500 [4 per cell]  4 Au 2.83, 4 Se 2.96, 4 Cu 2.96
Se1 0.0000 0.0000 0.5000 [2 per cell]  4 Cu 2.83, 8 Au 2.96


DFT (PBE-GGA) results for crystalline NaEuZnGa at its relaxed geometry.

- Uncorrected energy: -4.116 eV per atom

abc: 7.2888 7.2888 7.2888
angles: 90.00 90.00 90.00
Last column: nearest neighbours and their distance in Å.
Space group F-43m (No. 216)
Asymmetric unit:
Na1 0.0000 0.0000 0.0000 [4 per cell]  4 Zn 3.16, 4 Ga 3.16
Eu1 0.0000 0.0000 0.5000 [4 per cell]  4 Zn 3.16, 4 Ga 3.16
Zn1 0.2500 0.2500 0.7500 [4 per cell]  4 Na 3.16, 4 Eu 3.16
Ga1 0.2500 0.2500 0.2500 [4 per cell]  4 Na 3.16, 4 Eu 3.16


Total magnetic moment, respectively: 0.00 0.00 28.66 μB per cell.